# 1
First-principles (GGA-PBE) data for RbCa3Rh after structural relaxation, as listed in the Alexandria database.

abc: 7.9397 7.9397 21.3314
angles: 90.00 90.00 120.00
With the nearest neighbours (Å) after each atom.
Space group R-3m (No. 166, hexagonal axes)
Unique sites:
1 Rb 0.0000 0.0000 0.0834  1 Rb 3.56, 6 Ca 3.97
2 Ca 0.0037 0.5019 0.0813  2 Rh 2.87-2.88
3 Rh 0.0000 0.0000 0.3319  6 Ca 2.87-2.88

Output
The total magnetic moment comes out at 0.000 μB per formula unit. As for the energy of formation: -0.3 eV per formula unit. The calculated volume is 38.82 Å³ per atom.

# 2
First-principles (GGA-PBE) data for RbCa3Rh after structural relaxation, as listed in the Alexandria database.

abc: 15.3765 15.3765 15.3765
angles: 90.00 90.00 90.00
With the nearest neighbours (Å) after each atom.
Space group Fd-3m (No. 227, origin choice 2)
Unique sites:
1 Rb 0.0000 0.0000 0.0000  6 Ca 4.11
2 Ca 0.0495 0.3750 0.8750  2 Rh 2.82
3 Rh 0.0000 0.0000 0.5000  6 Ca 2.82

Output
The total magnetic moment comes out at 0.000 μB per formula unit. As for the energy of formation: -0.5 eV per formula unit. The calculated volume is 45.44 Å³ per atom.

# 3
First-principles (GGA-PBE) data for Rb2Ca4Rh after structural relaxation, as listed in the Alexandria database.

abc: 5.7044 5.7044 22.4503
angles: 90.00 90.00 90.00
With the nearest neighbours (Å) after each atom.
Space group I4/mmm (No. 139)
Unique sites:
1 Rb 0.0000 0.0000 0.1794  5 Ca 4.26-4.54
2 Ca 0.0000 0.0000 0.3816  1 Rh 2.66
3 Ca 0.0000 0.5000 0.0000  2 Rh 2.85
4 Rh 0.0000 0.0000 0.5000  6 Ca 2.66-2.85

Output
The total magnetic moment comes out at 0.000 μB per formula unit. As for the energy of formation: -0.2 eV per formula unit. The calculated volume is 52.18 Å³ per atom.

# 4
First-principles (GGA-PBE) data for RbCa3Rh after structural relaxation, as listed in the Alexandria database.

abc: 4.3214 7.6236 13.0774
angles: 90.00 90.00 90.00
With the nearest neighbours (Å) after each atom.
Space group Pmmn (No. 59, origin choice 2)
Unique sites:
1 Rb 0.2500 0.2500 0.0962  4 Ca 4.12-4.61, 2 Rb 4.32
2 Ca 0.2500 0.0022 0.6052  3 Rh 2.89-3.07
3 Ca 0.2500 0.7500 0.2151  1 Rh 2.71
4 Rh 0.2500 0.7500 0.4221  5 Ca 2.71-2.89

Output
The total magnetic moment comes out at 0.000 μB per formula unit. As for the energy of formation: -0.5 eV per formula unit. The calculated volume is 43.08 Å³ per atom.

# 5
First-principles (GGA-PBE) data for RbCa3Rh after structural relaxation, as listed in the Alexandria database.

abc: 8.6358 5.6233 8.7317
angles: 90.00 90.00 90.00
With the nearest neighbours (Å) after each atom.
Space group Pmma (No. 51)
Unique sites:
1 Rb 0.2500 0.0000 0.0007  2 Rb 4.32, 10 Ca 4.36-4.39
2 Ca 0.9997 0.5000 0.2963  2 Rh 2.80
3 Ca 0.2500 0.0000 0.5001  2 Rh 2.81
4 Rh 0.2500 0.5000 0.4997  6 Ca 2.80-2.81

Output
The total magnetic moment comes out at 0.000 μB per formula unit. As for the energy of formation: -0.7 eV per formula unit. The calculated volume is 42.40 Å³ per atom.

# 6
First-principles (GGA-PBE) data for RbCa3Rh after structural relaxation, as listed in the Alexandria database.

abc: 3.7420 7.7430 13.8343
angles: 90.00 90.00 90.00
With the nearest neighbours (Å) after each atom.
Space group Amm2 (No. 38)
Unique sites:
1 Rb 0.0000 0.0000 0.0000  2 Rb 3.74, 2 Ca 3.93
2 Ca 0.0000 0.0000 0.4528  2 Rh 2.78
3 Ca 0.5000 0.2412 0.7332  1 Rh 2.61
4 Rh 0.5000 0.0000 0.6018  4 Ca 2.61-2.78

Output
The total magnetic moment comes out at 0.000 μB per formula unit. As for the energy of formation: 0.7 eV per formula unit. The calculated volume is 40.08 Å³ per atom.

# 7
First-principles (GGA-PBE) data for RbCa3Rh after structural relaxation, as listed in the Alexandria database.

abc: 7.8215 7.8215 11.2637
angles: 90.00 90.00 120.00
With the nearest neighbours (Å) after each atom.
Space group R3m (No. 160, hexagonal axes)
Unique sites:
1 Rb 0.0000 0.0000 0.0000  1 Rh 3.00
2 Ca 0.0215 0.5108 0.0735  1 Rh 2.64
3 Rh 0.0000 0.0000 0.2660  3 Ca 2.64

Output
The total magnetic moment comes out at 0.000 μB per formula unit. As for the energy of formation: 1.0 eV per formula unit. The calculated volume is 39.78 Å³ per atom.

# 8
First-principles (GGA-PBE) data for RbCa3Rh after structural relaxation, as listed in the Alexandria database.

abc: 6.8376 6.8376 18.0575
angles: 90.00 90.00 90.00
With the nearest neighbours (Å) after each atom.
Space group I-4m2 (No. 119)
Unique sites:
1 Rb 0.0000 0.0000 0.1732  2 Rh 3.69, 6 Ca 3.90-3.92
2 Ca 0.0000 0.2426 0.3684  2 Rh 2.77-2.90
3 Ca 0.0000 0.5000 0.5402  2 Rh 3.49, 2 Ca 3.57
4 Rh 0.0000 0.0000 0.5000  4 Ca 2.90
5 Rh 0.0000 0.5000 0.2500  4 Ca 2.77

Output
The total magnetic moment comes out at 0.000 μB per formula unit. As for the energy of formation: 0.8 eV per formula unit. The calculated volume is 42.21 Å³ per atom.

# 9
First-principles (GGA-PBE) data for RbCa3Rh after structural relaxation, as listed in the Alexandria database.

abc: 13.6709 16.1056 7.5825
angles: 90.00 92.74 90.00
With the nearest neighbours (Å) after each atom.
Space group C2/c (No. 15)
Unique sites:
1 Rb 0.1294 0.0803 0.1181  7 Ca 4.13-4.53, 3 Rb 4.15-4.59
2 Ca 0.0972 0.3400 0.0810  2 Rh 2.78-2.93
3 Ca 0.1265 0.2186 0.6385  1 Rh 2.79
4 Ca 0.1305 0.4398 0.5326  3 Rh 2.79-2.94
5 Rh 0.0000 0.3422 0.7500  6 Ca 2.78-2.94, 1 Rh 2.88
6 Rh 0.0000 0.4792 0.2500  6 Ca 2.79-2.93, 1 Rh 2.88

Output
The total magnetic moment comes out at 0.000 μB per formula unit. As for the energy of formation: -0.5 eV per formula unit. The calculated volume is 41.69 Å³ per atom.

# 10
First-principles (GGA-PBE) data for RbCa3Rh after structural relaxation, as listed in the Alexandria database.

abc: 10.1703 7.1113 14.2629
angles: 90.00 128.43 90.00
With the nearest neighbours (Å) after each atom.
Space group P2_1/c (No. 14)
Unique sites:
1 Rb 0.1771 0.1809 0.0428  1 Rh 3.43
2 Ca 0.0549 0.6191 0.8194  2 Rh 2.79-2.82
3 Ca 0.3262 0.6924 0.2361  1 Rh 2.66
4 Ca 0.4654 0.2430 0.9295  2 Rh 2.82-2.85
5 Rh 0.2453 0.5597 0.3683  5 Ca 2.66-2.85

Output
The total magnetic moment comes out at 0.000 μB per formula unit. As for the energy of formation: -0.1 eV per formula unit. The calculated volume is 40.41 Å³ per atom.

# 11
First-principles (GGA-PBE) data for RbCa3Rh after structural relaxation, as listed in the Alexandria database.

abc: 5.7075 5.7075 11.6244
angles: 90.00 90.00 120.00
With the nearest neighbours (Å) after each atom.
Space group P6_3/mmc (No. 194)
Unique sites:
1 Rb 0.3333 0.6667 0.2500  5 Ca 3.30-3.62
2 Ca 0.0000 0.0000 0.2500  2 Rh 2.91
3 Ca 0.3333 0.6667 0.5610  3 Rh 3.37, 3 Ca 3.59, 1 Rb 3.62
4 Rh 0.0000 0.0000 0.0000  2 Ca 2.91

Output
The total magnetic moment comes out at 0.000 μB per formula unit. As for the energy of formation: 0.5 eV per formula unit. The calculated volume is 32.79 Å³ per atom.

# 12
First-principles (GGA-PBE) data for RbCa3Rh after structural relaxation, as listed in the Alexandria database.

abc: 4.0753 7.5808 21.1444
angles: 90.00 90.00 90.00
With the nearest neighbours (Å) after each atom.
Space group Amm2 (No. 38)
Unique sites:
1 Rb 0.0000 0.0000 0.0000  2 Rb 4.08, 4 Ca 4.29-4.50
2 Ca 0.0000 0.2433 0.6807  2 Rh 2.75
3 Ca 0.5000 0.0000 0.8102  1 Rh 2.59
4 Rh 0.5000 0.0000 0.6875  5 Ca 2.59-2.75

Output
The total magnetic moment comes out at 0.000 μB per formula unit. As for the energy of formation: 0.9 eV per formula unit. The calculated volume is 65.32 Å³ per atom.

# 13
First-principles (GGA-PBE) data for RbCa3Rh after structural relaxation, as listed in the Alexandria database.

abc: 8.7751 12.6181 6.8569
angles: 90.00 90.00 90.00
With the nearest neighbours (Å) after each atom.
Space group Cmcm (No. 63)
Unique sites:
1 Rb 0.0000 0.0547 0.2500  1 Rh 3.26
2 Ca 0.0000 0.5000 0.0000  2 Rh 2.91
3 Ca 0.1985 0.2333 0.7500  1 Rh 2.71
4 Rh 0.0000 0.3132 0.2500  4 Ca 2.71-2.91

Output
The total magnetic moment comes out at 0.000 μB per formula unit. As for the energy of formation: 0.4 eV per formula unit. The calculated volume is 37.96 Å³ per atom.

# 14
First-principles (GGA-PBE) data for RbCa3Rh after structural relaxation, as listed in the Alexandria database.

abc: 4.4176 8.8971 11.4794
angles: 82.17 79.11 75.76
With the nearest neighbours (Å) after each atom.
Space group P-1 (No. 2)
Unique sites:
1 Rb 0.1116 0.2354 0.0445  8 Ca 4.40-4.75, 5 Rb 4.42-4.81
2 Ca 0.0966 0.7427 0.5667  3 Rh 2.88-3.01
3 Ca 0.3186 0.5617 0.2973  3 Rh 2.85-3.05
4 Ca 0.3703 0.0921 0.6699  1 Rh 2.84
5 Rh 0.2778 0.3963 0.5488  7 Ca 2.84-3.05, 2 Rh 2.98-2.99

Output
The total magnetic moment comes out at 0.000 μB per formula unit. As for the energy of formation: -0.8 eV per formula unit. The calculated volume is 42.75 Å³ per atom.

# 15
First-principles (GGA-PBE) data for Rb3CaRh after structural relaxation, as listed in the Alexandria database.

abc: 6.4505 6.4505 6.4505
angles: 90.00 90.00 90.00
With the nearest neighbours (Å) after each atom.
Space group Pm-3m (No. 221)
Unique sites:
1 Rb 0.0000 0.0000 0.5000  2 Rh 3.23
2 Ca 0.5000 0.5000 0.5000  12 Rb 4.56
3 Rh 0.0000 0.0000 0.0000  6 Rb 3.23

Output
The total magnetic moment comes out at 0.000 μB per formula unit. As for the energy of formation: 3.2 eV per formula unit. The calculated volume is 53.68 Å³ per atom.

# 16
First-principles (GGA-PBE) data for RbCa3Rh after structural relaxation, as listed in the Alexandria database.

abc: 5.5717 5.5717 5.5717
angles: 90.00 90.00 90.00
With the nearest neighbours (Å) after each atom.
Space group Pm-3m (No. 221)
Unique sites:
1 Rb 0.0000 0.0000 0.0000  6 Ca 2.79
2 Ca 0.0000 0.0000 0.5000  2 Rb 2.79
3 Rh 0.5000 0.5000 0.5000  12 Ca 3.94

Output
The total magnetic moment comes out at 1.858 μB per formula unit. As for the energy of formation: 7.7 eV per formula unit. The calculated volume is 34.59 Å³ per atom.

# 17
First-principles (GGA-PBE) data for RbCaRh3 after structural relaxation, as listed in the Alexandria database.

abc: 5.0903 5.0903 5.0903
angles: 90.00 90.00 90.00
With the nearest neighbours (Å) after each atom.
Space group Pm-3m (No. 221)
Unique sites:
1 Rb 0.0000 0.0000 0.0000  12 Rh 3.60
2 Ca 0.5000 0.5000 0.5000  6 Rh 2.55
3 Rh 0.0000 0.5000 0.5000  2 Ca 2.55

Output
The total magnetic moment comes out at 1.882 μB per formula unit. As for the energy of formation: 6.2 eV per formula unit. The calculated volume is 26.38 Å³ per atom.

# 18
First-principles (GGA-PBE) data for RbCa3Rh after structural relaxation, as listed in the Alexandria database.

abc: 9.2527 4.1707 10.7438
angles: 90.00 90.09 90.00
With the nearest neighbours (Å) after each atom.
Space group Pm (No. 6)
Unique sites:
1 Rb 0.0000 0.0000 0.0000  2 Rb 4.17, 6 Ca 4.41-4.52
2 Rb 0.4998 0.5000 0.1028  2 Rb 4.17, 6 Ca 4.41-4.53
3 Ca 0.1582 0.5000 0.6647  3 Rh 2.99-3.13
4 Ca 0.2903 0.0000 0.4300  3 Rh 3.01-3.19
5 Ca 0.4713 0.0000 0.7385  2 Rh 2.85
6 Ca 0.6578 0.0000 0.4382  3 Rh 2.99-3.13
7 Ca 0.7907 0.5000 0.6728  3 Rh 3.01-3.19
8 Ca 0.9706 0.5000 0.3644  2 Rh 2.85
9 Rh 0.4724 0.5000 0.5573  8 Ca 2.85-3.19
10 Rh 0.9724 0.0000 0.5457  8 Ca 2.85-3.19

Output
The total magnetic moment comes out at 0.000 μB per formula unit. As for the energy of formation: -0.9 eV per formula unit. The calculated volume is 41.46 Å³ per atom.

# 19
First-principles (GGA-PBE) data for RbCa3Rh after structural relaxation, as listed in the Alexandria database.

abc: 25.1154 4.3179 7.9859
angles: 90.00 90.66 90.00
With the nearest neighbours (Å) after each atom.
Space group C2/m (No. 12)
Unique sites:
1 Rb 0.0485 0.0000 0.2599  5 Ca 4.19-4.65, 3 Rb 4.32-4.57
2 Ca 0.1134 0.5000 0.7883  1 Rh 2.73
3 Ca 0.1948 0.0000 0.5174  3 Rh 2.89-2.99
4 Ca 0.2135 0.5000 0.1269  3 Rh 2.89-3.06
5 Rh 0.2211 0.5000 0.7450  7 Ca 2.73-3.06

Output
The total magnetic moment comes out at 0.000 μB per formula unit. As for the energy of formation: -0.5 eV per formula unit. The calculated volume is 43.30 Å³ per atom.

# 20
First-principles (GGA-PBE) data for RbCa3Rh after structural relaxation, as listed in the Alexandria database.

abc: 4.1203 8.9712 11.6181
angles: 86.64 80.05 76.73
With the nearest neighbours (Å) after each atom.
Space group P1 (No. 1)
Unique sites:
1 Rb 0.0000 0.0000 0.0000  2 Rb 4.12, 3 Ca 4.60-4.61
2 Rb 0.3337 0.4850 0.8571  2 Rb 4.12, 7 Ca 4.22-4.61
3 Ca 0.1248 0.1559 0.6119  2 Rh 2.82
4 Ca 0.2177 0.2730 0.3013  3 Rh 3.00-3.15
5 Ca 0.3850 0.8891 0.3508  4 Rh 3.05-3.08, 2 Ca 3.35-3.39
6 Ca 0.5246 0.4768 0.4887  2 Rh 2.88
7 Ca 0.6225 0.5838 0.1782  2 Rh 2.90
8 Ca 0.8105 0.8056 0.5888  2 Rh 3.08-3.14
9 Rh 0.0157 0.6263 0.3532  8 Ca 2.88-3.15
10 Rh 0.7275 0.1098 0.4482  7 Ca 2.82-3.08

Output
The total magnetic moment comes out at 0.000 μB per formula unit. As for the energy of formation: -0.8 eV per formula unit. The calculated volume is 41.16 Å³ per atom.

# 21
First-principles (GGA-PBE) data for RbCa3Rh after structural relaxation, as listed in the Alexandria database.

abc: 6.1107 6.1112 12.6781
angles: 84.48 84.60 64.07
With the nearest neighbours (Å) after each atom.
Space group P-1 (No. 2)
Unique sites:
1 Rb 0.1941 0.1932 0.4077  3 Rb 4.23-4.41, 6 Ca 4.30-4.73
2 Ca 0.0953 0.0968 0.8238  2 Rh 2.86
3 Ca 0.2415 0.2409 0.0662  4 Rh 3.16-3.18
4 Ca 0.4514 0.4528 0.8213  2 Rh 2.86
5 Rh 0.2527 0.7472 0.9999  8 Ca 2.86-3.18

Output
The total magnetic moment comes out at 0.000 μB per formula unit. As for the energy of formation: -0.9 eV per formula unit. The calculated volume is 42.31 Å³ per atom.

# 22
First-principles (GGA-PBE) data for RbCa2SnRh after structural relaxation, as listed in the Alexandria database.

abc: 5.6385 5.6385 5.2232
angles: 90.00 90.00 90.00
With the nearest neighbours (Å) after each atom.
Space group P4/mmm (No. 123)
Unique sites:
1 Rb 0.0000 0.0000 0.0000  8 Ca 3.84, 4 Sn 3.99
2 Ca 0.0000 0.5000 0.5000  2 Rh 2.82
3 Sn 0.5000 0.5000 0.0000  2 Rh 2.61
4 Rh 0.5000 0.5000 0.5000  2 Sn 2.61, 4 Ca 2.82

Output
The total magnetic moment comes out at 0.410 μB per formula unit. As for the energy of formation: -1.5 eV per formula unit. The calculated volume is 33.21 Å³ per atom.

# 23
First-principles (GGA-PBE) data for RbCaTi2Rh after structural relaxation, as listed in the Alexandria database.

abc: 4.9297 4.9297 5.7788
angles: 90.00 90.00 90.00
With the nearest neighbours (Å) after each atom.
Space group P4/mmm (No. 123)
Unique sites:
1 Rb 0.0000 0.0000 0.0000  4 Ca 3.49, 8 Ti 3.80
2 Ca 0.5000 0.5000 0.0000  2 Rh 2.89
3 Ti 0.0000 0.5000 0.5000  2 Rh 2.46
4 Rh 0.5000 0.5000 0.5000  4 Ti 2.46

Output
The total magnetic moment comes out at 2.052 μB per formula unit. As for the energy of formation: 1.9 eV per formula unit. The calculated volume is 28.09 Å³ per atom.